HRh3N | GGA-PBEsol | relaxed

Values from the calculation:
Final energy in eV for the cell shown: -33.09
Crystal system: cubic

abc: 3.915 3.915 3.915
angles: 90.00 90.00 90.00
Fractional coordinates of all 5 atoms:
H  0.500  0.500  0.500
Rh  0.000  0.500  0.000
Rh  0.000  0.000  0.500
Rh  0.500  0.000  0.000
N  0.000  0.000  0.000